Li4La5Tl4 | PBE | relaxed

Properties
Formation energy from the elements = -284 meV per atom
DOS at the Fermi energy = 8.53 states/eV/f.u.

Cell lengths 12.433, 12.433, 4.813 Å; angles 90.00, 90.00, 90.00 degrees
Space group I4/m (No. 87)
Inequivalent atoms, fractional coordinates:
Li (0.066, 0.600, 0.000) [8 per cell]
La (0.000, 0.000, 0.500) [2 per cell]
La (0.132, 0.210, 0.000) [8 per cell]
Tl (0.052, 0.739, 0.500) [8 per cell]

=====

Er2ScCu4 | PBE | relaxed

Properties
Formation energy from the elements = -43 meV per atom
DOS at the Fermi energy = 5.76 states/eV/f.u.

Cell lengths 4.919, 4.919, 11.452 Å; angles 90.00, 90.00, 90.00 degrees
Space group I4/mmm (No. 139)
Inequivalent atoms, fractional coordinates:
Er (0.000, 0.000, 0.217) [4 per cell]
Sc (0.000, 0.000, 0.500) [2 per cell]
Cu (0.000, 0.500, 0.111) [8 per cell]